{
  "formula": "Dy2Ga2Ni3Pd",
  "functional": "PBE",
  "state": "relaxed",
  "lattice_angstrom": [[4.214, 0.000, 0.000], [-2.107, 3.649, 0.000], [0.000, 0.000, 8.865]],
  "species": ["Dy", "Dy", "Ga", "Ga", "Ni", "Ni", "Ni", "Pd"],
  "frac_coords": [[0.333, 0.667, 0.259], [0.000, 0.000, 0.745], [0.667, 0.333, 0.502], [0.667, 0.333, 0.983], [0.000, 0.000, 0.436], [0.333, 0.667, 0.569], [0.333, 0.667, 0.925], [0.000, 0.000, 0.080]],
  "spacegroup": "P3m1",
  "total_energy_ev_per_atom": -5.280,
  "vol_a3_per_atom": 17.04
}